<a>
Material: Tb7Pm3Ho
Method: DFT, PBE
State: optimized geometry

Computed properties:
Calculated volume in Å³ per atom: 33.22
Crystal system: monoclinic
Symmetry: P2/m (10)

a = 8.916 Å, b = 10.089 Å, c = 5.558 Å
α = 90.01°, β = 128.54°, γ = 106.19°
Fractional positions:
Tb 0.643 0.289 0.143
Tb 0.909 0.829 0.909
Tb 0.500 0.000 0.500
Tb 0.185 0.363 0.685
Tb 0.815 0.637 0.315
Tb 0.357 0.711 0.857
Tb 0.091 0.171 0.091
Pm 0.000 0.500 0.000
Pm 0.217 0.998 0.717
Pm 0.783 0.002 0.283
Ho 0.500 0.500 0.500


<b>
Material: Tb7Pm3Ho
Method: DFT, PBE
State: optimized geometry

Computed properties:
Calculated volume in Å³ per atom: 33.52
Crystal system: orthorhombic
Symmetry: Immm (71)

a = 5.865 Å, b = 8.453 Å, c = 8.453 Å
α = 83.36°, β = 110.30°, γ = 110.30°
Fractional positions:
Tb 0.793 0.793 0.793
Tb 0.298 0.998 0.597
Tb 0.207 0.207 0.207
Tb 0.702 0.002 0.403
Tb 0.702 0.403 0.002
Tb 0.000 0.500 0.500
Tb 0.298 0.597 0.998
Pm 0.000 0.789 0.211
Pm 0.000 0.211 0.789
Pm 0.500 0.000 0.000
Ho 0.500 0.500 0.500


Most stable: <a>


<a>
Material: Tb2Pm3Ho5
Method: DFT, PBE
State: optimized geometry

Computed properties:
Calculated volume in Å³ per atom: 33.06
Crystal system: orthorhombic
Symmetry: Ibam (72)

a = 6.382 Å, b = 10.950 Å, c = 10.950 Å
α = 102.46°, β = 73.06°, γ = 73.06°
Fractional positions:
Ho 0.759 0.073 0.410
Ho 0.741 0.590 0.927
Ho 0.998 0.252 0.252
Ho 0.250 0.500 0.500
Ho 0.002 0.748 0.748
Ho 0.498 0.252 0.252
Ho 0.241 0.927 0.590
Ho 0.502 0.748 0.748
Ho 0.259 0.410 0.073
Ho 0.750 0.500 0.500
Pm 0.412 0.421 0.755
Pm 0.750 0.000 0.000
Pm 0.250 0.000 0.000
Pm 0.912 0.755 0.421
Pm 0.088 0.245 0.579
Pm 0.588 0.579 0.245
Tb 0.407 0.925 0.261
Tb 0.093 0.739 0.075
Tb 0.593 0.075 0.739
Tb 0.907 0.261 0.925


<b>
Material: Tb2Pm3Ho5
Method: DFT, PBE
State: optimized geometry

Computed properties:
Calculated volume in Å³ per atom: 32.96
Crystal system: monoclinic
Symmetry: C2/c (15)

a = 9.412 Å, b = 9.402 Å, c = 11.111 Å
α = 125.00°, β = 125.02°, γ = 69.20°
Fractional positions:
Tb 0.533 0.276 0.262
Tb 0.467 0.724 0.738
Tb 0.771 0.014 0.738
Tb 0.229 0.986 0.262
Pm 0.269 0.526 0.748
Pm 0.979 0.222 0.748
Pm 0.731 0.474 0.252
Pm 0.233 0.983 0.967
Pm 0.767 0.017 0.033
Pm 0.021 0.778 0.252
Ho 0.272 0.522 0.044
Ho 0.728 0.478 0.956
Ho 0.529 0.279 0.557
Ho 0.471 0.721 0.443
Ho 0.145 0.395 0.271
Ho 0.855 0.605 0.729
Ho 0.975 0.225 0.449
Ho 0.025 0.775 0.551
Ho 0.374 0.124 0.729
Ho 0.626 0.876 0.271


Most stable: <b>


<a>
Material: TbPm7Ho2
Method: DFT, PBE
State: optimized geometry

Computed properties:
Calculated volume in Å³ per atom: 40.93
Crystal system: orthorhombic
Symmetry: Cmmm (65)

a = 5.622 Å, b = 9.360 Å, c = 9.360 Å
α = 123.79°, β = 90.00°, γ = 90.00°
Fractional positions:
Ho 0.500 0.705 0.295
Ho 0.500 0.295 0.705
Tb 0.000 0.000 0.000
Pm 0.500 0.708 0.935
Pm 0.000 0.784 0.216
Pm 0.000 0.216 0.784
Pm 0.500 0.500 0.500
Pm 0.500 0.065 0.292
Pm 0.500 0.935 0.708
Pm 0.500 0.292 0.065


<b>
Material: TbPm7Ho2
Method: DFT, PBE
State: optimized geometry

Computed properties:
Calculated volume in Å³ per atom: 35.55
Crystal system: orthorhombic
Symmetry: Cmmm (65)

a = 3.509 Å, b = 10.345 Å, c = 10.345 Å
α = 108.79°, β = 90.00°, γ = 90.00°
Fractional positions:
Ho 0.500 0.833 0.167
Ho 0.500 0.167 0.833
Pm 0.500 0.125 0.385
Pm 0.500 0.615 0.875
Pm 0.000 0.323 0.677
Pm 0.500 0.500 0.500
Pm 0.500 0.875 0.615
Pm 0.000 0.677 0.323
Pm 0.500 0.385 0.125
Tb 0.000 0.000 0.000


Most stable: <b>


<a>
Material: Tb5PmHo3
Method: DFT, PBE
State: optimized geometry

Computed properties:
Calculated volume in Å³ per atom: 33.25
Crystal system: monoclinic
Symmetry: C2/c (15)

a = 6.692 Å, b = 8.712 Å, c = 11.760 Å
α = 72.48°, β = 90.00°, γ = 112.59°
Fractional positions:
Pm 0.308 0.000 0.250
Pm 0.692 0.000 0.750
Tb 0.083 0.567 0.763
Tb 0.201 0.000 0.750
Tb 0.917 0.433 0.237
Tb 0.484 0.567 0.263
Tb 0.799 0.000 0.250
Tb 0.867 0.632 0.451
Tb 0.516 0.433 0.737
Tb 0.235 0.368 0.049
Tb 0.133 0.368 0.549
Tb 0.765 0.632 0.951
Ho 0.659 0.214 0.988
Ho 0.000 0.000 0.500
Ho 0.445 0.786 0.512
Ho 0.000 0.000 0.000
Ho 0.341 0.786 0.012
Ho 0.555 0.214 0.488


<b>
Material: Tb5PmHo3
Method: DFT, PBE
State: optimized geometry

Computed properties:
Calculated volume in Å³ per atom: 34.65
Crystal system: monoclinic
Symmetry: C2/m (12)

a = 9.311 Å, b = 9.311 Å, c = 12.783 Å
α = 51.53°, β = 51.53°, γ = 50.94°
Fractional positions:
Pm 0.106 0.106 0.130
Pm 0.894 0.894 0.870
Tb 0.080 0.490 0.779
Tb 0.920 0.510 0.221
Tb 0.442 0.442 0.431
Tb 0.510 0.920 0.221
Tb 0.369 0.369 0.932
Tb 0.631 0.631 0.068
Tb 0.558 0.558 0.569
Tb 0.490 0.080 0.779
Tb 0.680 0.320 0.000
Tb 0.320 0.680 0.000
Ho 0.167 0.167 0.660
Ho 0.000 0.000 0.000
Ho 0.000 0.000 0.500
Ho 0.833 0.833 0.340
Ho 0.303 0.303 0.315
Ho 0.697 0.697 0.685


Most stable: <a>


<a>
Material: TbPm5Ho2
Method: DFT, PBE
State: optimized geometry

Computed properties:
Calculated volume in Å³ per atom: 33.16
Crystal system: orthorhombic
Symmetry: Pbam (55)

a = 5.099 Å, b = 7.213 Å, c = 14.428 Å
α = 90.00°, β = 90.00°, γ = 90.00°
Fractional positions:
Pm 0.000 0.500 0.751
Pm 0.000 0.000 0.000
Pm 0.000 0.500 0.500
Pm 0.000 0.500 0.249
Pm 0.500 0.251 0.876
Pm 0.500 0.749 0.124
Pm 0.500 0.249 0.376
Pm 0.000 0.000 0.251
Pm 0.500 0.751 0.624
Pm 0.000 0.000 0.749
Ho 0.500 0.750 0.876
Ho 0.500 0.250 0.124
Ho 0.500 0.750 0.376
Ho 0.500 0.250 0.624
Tb 0.000 0.000 0.500
Tb 0.000 0.500 0.000


<b>
Material: TbPm5Ho2
Method: DFT, PBE
State: optimized geometry

Computed properties:
Calculated volume in Å³ per atom: 33.63
Crystal system: monoclinic
Symmetry: C2/c (15)

a = 9.706 Å, b = 9.706 Å, c = 13.336 Å
α = 45.31°, β = 45.31°, γ = 76.92°
Fractional positions:
Pm 0.534 0.012 0.239
Pm 0.466 0.988 0.761
Pm 0.510 0.490 0.750
Pm 0.997 0.020 0.869
Pm 0.003 0.980 0.131
Pm 0.988 0.466 0.261
Pm 0.012 0.534 0.739
Pm 0.980 0.003 0.631
Pm 0.020 0.997 0.369
Pm 0.490 0.510 0.250
Tb 0.761 0.239 0.250
Tb 0.239 0.761 0.750
Ho 0.500 0.500 0.000
Ho 0.500 0.000 0.000
Ho 0.500 0.500 0.500
Ho 0.000 0.500 0.500


Most stable: <a>


<a>
Material: TbPm3Ho7
Method: DFT, PBE
State: optimized geometry

Computed properties:
Calculated volume in Å³ per atom: 33.02
Crystal system: orthorhombic
Symmetry: Immm (71)

a = 5.823 Å, b = 8.417 Å, c = 8.417 Å
α = 83.40°, β = 110.22°, γ = 110.22°
Fractional positions:
Ho 0.795 0.795 0.795
Ho 0.293 0.597 0.989
Ho 0.205 0.205 0.205
Ho 0.293 0.989 0.597
Ho 0.707 0.011 0.403
Ho 0.000 0.500 0.500
Ho 0.707 0.403 0.011
Pm 0.000 0.212 0.788
Pm 0.000 0.788 0.212
Pm 0.500 0.000 0.000
Tb 0.500 0.500 0.500


<b>
Material: TbPm3Ho7
Method: DFT, PBE
State: optimized geometry

Computed properties:
Calculated volume in Å³ per atom: 32.71
Crystal system: monoclinic
Symmetry: P2/m (10)

a = 8.866 Å, b = 10.045 Å, c = 5.516 Å
α = 90.01°, β = 128.44°, γ = 106.10°
Fractional positions:
Pm 0.216 0.998 0.716
Pm 0.784 0.002 0.284
Pm 0.000 0.500 0.000
Ho 0.817 0.638 0.317
Ho 0.910 0.829 0.910
Ho 0.357 0.711 0.857
Ho 0.090 0.171 0.090
Ho 0.183 0.362 0.683
Ho 0.500 0.000 0.500
Ho 0.643 0.289 0.143
Tb 0.500 0.500 0.500


Most stable: <b>


<a>
Material: TbPm4Ho7
Method: DFT, PBE
State: optimized geometry

Computed properties:
Calculated volume in Å³ per atom: 33.42
Crystal system: monoclinic
Symmetry: C2/m (12)

a = 5.894 Å, b = 11.637 Å, c = 6.724 Å
α = 83.59°, β = 64.01°, γ = 75.33°
Fractional positions:
Ho 0.632 0.505 0.232
Ho 0.500 0.000 0.000
Ho 0.788 0.924 0.499
Ho 0.212 0.076 0.501
Ho 0.368 0.495 0.768
Ho 0.068 0.687 0.177
Ho 0.932 0.313 0.823
Pm 0.639 0.223 0.499
Pm 0.226 0.331 0.218
Pm 0.774 0.669 0.782
Pm 0.361 0.777 0.501
Tb 0.000 0.000 0.000


<b>
Material: TbPm4Ho7
Method: DFT, PBE
State: optimized geometry

Computed properties:
Calculated volume in Å³ per atom: 32.49
Crystal system: triclinic
Symmetry: P-1 (2)

a = 6.828 Å, b = 8.750 Å, c = 9.054 Å
α = 84.39°, β = 94.98°, γ = 47.76°
Fractional positions:
Ho 0.019 0.681 0.358
Ho 0.736 0.512 0.951
Ho 0.981 0.319 0.642
Ho 0.264 0.488 0.049
Ho 0.706 0.187 0.383
Ho 0.294 0.813 0.617
Ho 0.500 0.000 0.000
Pm 0.447 0.362 0.715
Pm 0.553 0.638 0.285
Pm 0.778 0.838 0.692
Pm 0.222 0.162 0.308
Tb 0.000 0.000 0.000


Most stable: <b>


<a>
Material: Tb2Pm5Ho2
Method: DFT, PBE
State: optimized geometry

Computed properties:
Calculated volume in Å³ per atom: 33.40
Crystal system: orthorhombic
Symmetry: Ima2 (46)

a = 11.840 Å, b = 6.809 Å, c = 10.112 Å
α = 109.67°, β = 125.84°, γ = 90.00°
Fractional positions:
Pm 0.811 0.762 0.102
Pm 0.624 0.737 0.712
Pm 0.993 0.154 0.500
Pm 0.589 0.237 0.712
Pm 0.411 0.524 0.288
Pm 0.189 0.661 0.898
Pm 0.007 0.654 0.500
Pm 0.791 0.262 0.102
Pm 0.376 0.024 0.288
Pm 0.209 0.161 0.898
Tb 0.867 0.423 0.745
Tb 0.378 0.923 0.745
Tb 0.133 0.678 0.255
Tb 0.622 0.178 0.255
Ho 0.257 0.351 0.500
Ho 0.000 0.045 0.000
Ho 0.743 0.851 0.500
Ho 0.500 0.545 0.000


<b>
Material: Tb2Pm5Ho2
Method: DFT, PBE
State: optimized geometry

Computed properties:
Calculated volume in Å³ per atom: 33.07
Crystal system: monoclinic
Symmetry: C2/m (12)

a = 6.246 Å, b = 6.247 Å, c = 13.953 Å
α = 58.48°, β = 132.20°, γ = 131.86°
Fractional positions:
Pm 0.446 0.666 0.112
Pm 0.000 0.000 0.000
Pm 0.778 0.667 0.445
Pm 0.222 0.333 0.555
Pm 0.554 0.334 0.888
Tb 0.667 0.000 0.667
Tb 0.333 0.000 0.333
Ho 0.109 0.667 0.777
Ho 0.891 0.333 0.223


Most stable: <b>